*a*
DFT (PBE-GGA) results for a relaxed CdICl3 crystal.

Cell and atoms, written as POSCAR:
```
CdICl3
1.0
-0.115 3.918 3.909
-5.523 -0.333 0.172
0.357 -3.896 3.916
I Cl Cd
1 3 1
Cartesian
0.000 0.000 0.000 I
-2.761 -0.167 0.086 Cl
0.178 -1.948 1.958 Cl
-0.057 1.959 1.954 Cl
-2.640 -0.156 3.998 Cd
```

Summary:
Mass density: 3.4 g/cm3
Symmetry: Pm-3m

*b*
DFT (PBE-GGA) results for a relaxed CdICl3 crystal.

Cell and atoms, written as POSCAR:
```
CdICl3
1.0
5.246 0.000 0.000
0.000 5.246 0.000
0.000 0.000 5.246
I Cl Cd
1 3 1
Cartesian
2.623 2.623 2.623 I
0.000 2.623 0.000 Cl
0.000 0.000 2.623 Cl
2.623 0.000 0.000 Cl
0.000 0.000 0.000 Cd
```

Summary:
Mass density: 4.0 g/cm3
Symmetry: Pm-3m

Verdict on stability: *b* comes out on top.

*a*
DFT (PBE-GGA) results for a relaxed Cd2ICl crystal.

Cell and atoms, written as POSCAR:
```
Cd2ICl
1.0
0.000 3.789 3.789
3.789 0.000 3.789
3.789 3.789 0.000
I Cl Cd
1 1 2
Cartesian
3.789 3.789 3.789 I
0.000 0.000 0.000 Cl
1.895 1.895 1.895 Cd
5.684 5.684 5.684 Cd
```

Summary:
Mass density: 5.9 g/cm3
Symmetry: Fm-3m

*b*
DFT (PBE-GGA) results for a relaxed Cd2ICl crystal.

Cell and atoms, written as POSCAR:
```
Cd2ICl
1.0
7.018 0.000 0.000
0.000 7.018 0.000
3.509 3.509 6.667
I Cl Cd
2 2 4
Cartesian
0.000 0.000 0.000 I
7.018 3.509 3.334 I
3.509 3.509 0.000 Cl
3.509 7.018 3.334 Cl
4.993 1.754 1.667 Cd
2.025 5.263 1.667 Cd
5.263 5.533 5.001 Cd
8.772 8.502 5.001 Cd
```

Summary:
Mass density: 3.9 g/cm3
Symmetry: I-42d

Verdict on stability: *b* comes out on top.

*a*
DFT (PBE-GGA) results for a relaxed CdIN2Cl crystal.

Cell and atoms, written as POSCAR:
```
CdIN2Cl
1.0
-1.202 2.985 -3.068
0.515 -3.063 -3.181
-6.275 -1.795 0.712
I N Cl Cd
1 2 1 1
Cartesian
-3.138 -0.897 0.356 I
0.257 -1.532 -1.591 N
-0.601 1.492 -1.534 N
-3.481 -0.937 -2.769 Cl
0.000 0.000 0.000 Cd
```

Summary:
Mass density: 3.9 g/cm3
Symmetry: P4/mmm

*b*
DFT (PBE-GGA) results for a relaxed CdIN2Cl crystal.

Cell and atoms, written as POSCAR:
```
CdIN2Cl
1.0
-0.257 1.310 4.107
1.120 -3.952 1.331
7.679 2.111 -0.193
I N Cl Cd
1 2 1 1
Cartesian
3.839 1.056 -0.097 I
0.560 -1.976 0.666 N
-0.128 0.655 2.053 N
0.000 0.000 0.000 Cl
4.271 -0.265 2.622 Cd
```

Summary:
Mass density: 3.4 g/cm3
Symmetry: P4/mmm

Verdict on stability: *a* comes out on top.

*a*
DFT (PBE-GGA) results for a relaxed NaCdICl2 crystal.

Cell and atoms, written as POSCAR:
```
NaCdICl2
1.0
-4.590 2.951 -0.798
0.707 -0.947 -7.572
-4.554 -7.171 -0.327
Na Cd I Cl
2 2 2 4
Cartesian
-5.917 -2.070 -2.210 Na
-2.520 -3.096 -6.486 Na
-4.385 -6.211 -7.281 Cd
-4.052 1.045 -1.415 Cd
-4.264 0.034 -3.931 I
-4.172 -5.201 -4.765 I
-6.736 -5.007 -8.356 Cl
-1.700 -0.160 -0.340 Cl
-3.816 -3.706 -1.285 Cl
-4.620 -1.460 -7.411 Cl
```

Summary:
Mass density: 3.1 g/cm3
Symmetry: P2_1/m

*b*
DFT (PBE-GGA) results for a relaxed NaCdICl2 crystal.

Cell and atoms, written as POSCAR:
```
NaCdICl2
1.0
-4.512 -1.132 -2.259
1.261 -5.919 0.446
-2.287 -0.138 4.636
I Na Cl Cd
1 1 2 1
Cartesian
0.631 -2.959 0.223 I
-2.769 -3.594 1.412 Na
-1.143 -0.069 2.318 Cl
-2.256 -0.566 -1.130 Cl
0.000 0.000 0.000 Cd
```

Summary:
Mass density: 3.4 g/cm3
Symmetry: P4/mmm

Verdict on stability: *a* comes out on top.

*a*
DFT (PBE-GGA) results for a relaxed CdPICl2 crystal.

Cell and atoms, written as POSCAR:
```
CdPICl2
1.0
4.869 0.000 0.000
0.000 4.869 0.000
0.000 0.000 7.917
I P Cl Cd
1 1 2 1
Cartesian
2.435 2.435 3.959 I
0.000 0.000 3.959 P
0.000 2.435 0.000 Cl
2.435 0.000 0.000 Cl
0.000 0.000 0.000 Cd
```

Summary:
Mass density: 3.0 g/cm3
Symmetry: P4/mmm

*b*
DFT (PBE-GGA) results for a relaxed CdPICl2 crystal.

Cell and atoms, written as POSCAR:
```
CdPICl2
1.0
5.458 0.000 0.000
0.000 5.458 0.000
0.000 0.000 5.302
I P Cl Cd
1 1 2 1
Cartesian
0.000 0.000 0.000 I
0.000 0.000 2.651 P
0.000 2.729 0.000 Cl
2.729 0.000 0.000 Cl
2.729 2.729 2.651 Cd
```

Summary:
Mass density: 3.6 g/cm3
Symmetry: P4/mmm

Verdict on stability: *a* comes out on top.

*a*
DFT (PBE-GGA) results for a relaxed RbCdICl2 crystal.

Cell and atoms, written as POSCAR:
```
RbCdICl2
1.0
5.328 0.000 0.000
0.000 5.328 0.000
0.000 0.000 5.959
I Cl Rb Cd
1 2 1 1
Cartesian
0.000 0.000 2.979 I
0.000 2.664 0.000 Cl
2.664 0.000 0.000 Cl
2.664 2.664 2.979 Rb
0.000 0.000 0.000 Cd
```

Summary:
Mass density: 3.9 g/cm3
Symmetry: P4/mmm

*b*
DFT (PBE-GGA) results for a relaxed RbCdICl2 crystal.

Cell and atoms, written as POSCAR:
```
RbCdICl2
1.0
4.643 0.000 0.000
-2.321 8.317 0.000
0.000 0.000 9.045
Rb Cd I Cl
2 2 2 4
Cartesian
2.321 3.622 6.784 Rb
0.000 4.695 2.261 Rb
0.000 0.000 0.000 Cd
0.000 0.000 4.523 Cd
0.000 8.063 6.784 I
2.321 0.254 2.261 I
0.000 2.461 8.854 Cl
2.321 5.857 0.191 Cl
0.000 2.461 4.713 Cl
2.321 5.857 4.332 Cl
```

Summary:
Mass density: 3.8 g/cm3
Symmetry: Cmcm

Verdict on stability: *b* comes out on top.